## Sr2ErGaSe5 (GGA-PBE)

Data for an optimized crystal structure of Sr2ErGaSe5.

Structure (POSCAR):
```
Sr2ErGaSe5
1.0
-2.9697 -2.8031 -0.4133
2.8806 1.2870 -9.0444
8.6788 -9.4046 1.4259
Er Se Ga Sr
2 10 2 4
Direct
0.7925 0.5850 0.5257
0.2075 0.4150 0.0257
0.3542 0.7084 0.0053
0.2934 0.5868 0.6740
0.7066 0.4132 0.1740
0.0469 0.0938 0.0425
0.6853 0.3706 0.8690
0.5011 0.0021 0.2697
0.6458 0.2916 0.5053
0.4989 0.9979 0.7697
0.9531 0.9062 0.5425
0.3147 0.6294 0.3690
0.5591 0.1182 0.9322
0.4409 0.8818 0.4322
0.8752 0.7503 0.8231
0.1190 0.2381 0.6824
0.8810 0.7619 0.1824
0.1248 0.2497 0.3231
```

Values from the calculation:
SG   Cmc2_1, No. 36
E_tot   -4.7737 eV/atom
Raw formation energy   -1.621 eV/atom